1.
Here is an optimized crystal structure of BaMn2Cu from Alexandria via LeMat-Bulk. Energies are from PBE.

Values from the calculation:
N(E_F) = 0.8993 states/eV/atom
DFT formation energy = 0.54 eV/atom
Theoretical density = 6.02 g/cm³
Magnetic moment = 7.69 μB per cell
Space-group type = P4mm (99)

Structure (POSCAR):
```
BaMn2Cu
1.0
3.395 0.000 0.000
0.000 3.395 0.000
0.000 0.000 7.439
Ba Mn Cu
1 2 1
Cartesian
0.000 0.000 0.000
0.000 0.000 3.471
1.697 1.697 4.907
1.697 1.697 2.383
```



2.
Here is an optimized crystal structure of BaMnCu2 from Alexandria via LeMat-Bulk. Energies are from PBE.

Values from the calculation:
N(E_F) = 0.5188 states/eV/atom
DFT formation energy = 0.51 eV/atom
Theoretical density = 5.85 g/cm³
Magnetic moment = 4.51 μB per cell
Space-group type = Fm-3m (225)

Structure (POSCAR):
```
BaMnCu2
1.0
0.000 3.565 3.565
3.565 0.000 3.565
3.565 3.565 0.000
Ba Mn Cu
1 1 2
Cartesian
0.000 0.000 0.000
3.565 3.565 3.565
1.782 1.782 1.782
5.347 5.347 5.347
```



3.
Here is an optimized crystal structure of Ba2MnCu from Alexandria via LeMat-Bulk. Energies are from PBE.

Values from the calculation:
N(E_F) = 1.1557 states/eV/atom
Distance to the lowest polymorph of the same formula = 0.000 eV/atom
DFT formation energy = 0.28 eV/atom
Theoretical density = 4.70 g/cm³
Magnetic moment = 3.57 μB per cell
Space-group type = Amm2 (38)

Structure (POSCAR):
```
Ba2MnCu
1.0
4.491 0.000 0.000
0.000 2.454 6.308
0.000 -2.454 6.308
Ba Mn Cu
2 1 1
Cartesian
0.000 0.000 0.000
2.245 0.000 3.572
2.245 0.000 7.548
0.000 0.000 8.751
```



4.
Here is an optimized crystal structure of BaMnCu2 from Alexandria via LeMat-Bulk. Energies are from PBE.

Values from the calculation:
N(E_F) = 0.9771 states/eV/atom
DFT formation energy = 0.17 eV/atom
Theoretical density = 5.72 g/cm³
Magnetic moment = 3.56 μB per cell
Space-group type = Cm (8)

Structure (POSCAR):
```
BaMnCu2
1.0
3.743 -2.166 0.000
3.743 2.166 0.000
-2.573 0.000 5.717
Ba Mn Cu
1 1 2
Cartesian
0.000 0.000 0.000
-0.061 0.000 3.199
2.438 0.000 2.926
4.935 0.000 2.507
```



5.
Here is an optimized crystal structure of Ba2MnCu from Alexandria via LeMat-Bulk. Energies are from PBE.

Values from the calculation:
N(E_F) = 1.2895 states/eV/atom
Distance to the lowest polymorph of the same formula = 0.150 eV/atom
DFT formation energy = 0.43 eV/atom
Theoretical density = 4.98 g/cm³
Magnetic moment = 3.32 μB per cell
Space-group type = Fm-3m (225)

Structure (POSCAR):
```
Ba2MnCu
1.0
0.000 4.032 4.032
4.032 0.000 4.032
4.032 4.032 0.000
Ba Mn Cu
2 1 1
Cartesian
2.016 2.016 2.016
6.048 6.048 6.048
0.000 0.000 0.000
4.032 4.032 4.032
```



6.
Here is an optimized crystal structure of BaMnCu2 from Alexandria via LeMat-Bulk. Energies are from PBE.

Values from the calculation:
N(E_F) = 0.7154 states/eV/atom
DFT formation energy = 0.40 eV/atom
Theoretical density = 6.37 g/cm³
Magnetic moment = 4.10 μB per cell
Space-group type = P4mm (99)

Structure (POSCAR):
```
BaMnCu2
1.0
3.369 0.000 0.000
0.000 3.369 0.000
0.000 0.000 7.339
Ba Mn Cu
1 1 2
Cartesian
0.000 0.000 0.000
1.684 1.684 4.681
0.000 0.000 3.485
1.684 1.684 2.270
```



7.
Here is an optimized crystal structure of BaMn3Cu from Alexandria via LeMat-Bulk. Energies are from PBE.

Values from the calculation:
N(E_F) = 0.9600 states/eV/atom
Distance to the lowest polymorph of the same formula = 0.000 eV/atom
DFT formation energy = 0.70 eV/atom
Theoretical density = 5.21 g/cm³
Magnetic moment = 12.33 μB per cell
Space-group type = Pm-3m (221)

Structure (POSCAR):
```
BaMn3Cu
1.0
4.886 0.000 0.000
0.000 4.886 0.000
0.000 0.000 4.886
Ba Mn Cu
1 3 1
Cartesian
0.000 0.000 0.000
0.000 2.443 2.443
2.443 0.000 2.443
2.443 2.443 0.000
2.443 2.443 2.443
```



8.
Here is an optimized crystal structure of BaMnCu2 from Alexandria via LeMat-Bulk. Energies are from PBE.

Values from the calculation:
N(E_F) = 0.7589 states/eV/atom
DFT formation energy = 0.53 eV/atom
Theoretical density = 6.19 g/cm³
Magnetic moment = 3.93 μB per cell
Space-group type = Imm2 (44)

Structure (POSCAR):
```
BaMnCu2
1.0
-1.645 2.655 4.902
1.645 -2.655 4.902
1.645 2.655 -4.902
Ba Mn Cu
1 1 2
Cartesian
0.000 0.000 0.000
0.000 2.655 1.873
1.645 0.000 2.811
0.000 0.000 4.686
```



9.
Here is an optimized crystal structure of BaMnCu2 from Alexandria via LeMat-Bulk. Energies are from PBE.

Values from the calculation:
N(E_F) = 0.7478 states/eV/atom
DFT formation energy = 0.30 eV/atom
Theoretical density = 6.44 g/cm³
Magnetic moment = 4.18 μB per cell
Space-group type = P2/m (10)

Structure (POSCAR):
```
BaMnCu2
1.0
3.381 0.000 0.000
0.000 3.400 0.000
-0.023 0.000 7.166
Ba Mn Cu
1 1 2
Cartesian
0.000 0.000 0.000
-0.012 0.000 3.583
1.670 1.700 4.792
1.688 1.700 2.374
```



10.
Here is an optimized crystal structure of BaMn2Cu from Alexandria via LeMat-Bulk. Energies are from PBE.

Values from the calculation:
N(E_F) = 1.2381 states/eV/atom
DFT formation energy = 0.28 eV/atom
Theoretical density = 5.46 g/cm³
Magnetic moment = 0.06 μB per cell
Space-group type = Cm (8)

Structure (POSCAR):
```
BaMn2Cu
1.0
3.728 -2.153 0.000
3.728 2.153 0.000
-2.496 0.000 5.887
Ba Mn Cu
1 2 1
Cartesian
0.000 0.000 0.000
-0.011 0.000 3.280
2.475 0.000 3.120
4.961 0.000 2.499
```



11.
Here is an optimized crystal structure of BaMn3Cu from Alexandria via LeMat-Bulk. Energies are from PBE.

Values from the calculation:
N(E_F) = 0.5637 states/eV/atom
Distance to the lowest polymorph of the same formula = 1.562 eV/atom
DFT formation energy = 2.26 eV/atom
Theoretical density = 4.12 g/cm³
Magnetic moment = 12.15 μB per cell
Space-group type = Pm-3m (221)

Structure (POSCAR):
```
BaMn3Cu
1.0
5.283 0.000 0.000
0.000 5.283 0.000
0.000 0.000 5.283
Ba Mn Cu
1 3 1
Cartesian
0.000 0.000 0.000
0.000 0.000 2.641
0.000 2.641 0.000
2.641 0.000 0.000
2.641 2.641 2.641
```



12.
Here is an optimized crystal structure of BaMnCu2 from Alexandria via LeMat-Bulk. Energies are from PBE.

Values from the calculation:
N(E_F) = 0.7551 states/eV/atom
DFT formation energy = 0.65 eV/atom
Theoretical density = 6.07 g/cm³
Magnetic moment = 4.15 μB per cell
Space-group type = F-43m (216)

Structure (POSCAR):
```
BaMnCu2
1.0
0.000 3.522 3.522
3.522 0.000 3.522
3.522 3.522 0.000
Ba Mn Cu
1 1 2
Cartesian
0.000 0.000 0.000
1.761 1.761 1.761
3.522 3.522 3.522
5.283 5.283 5.283
```